Entry 1:
This record from the Alexandria database describes a relaxed CaSnB crystal. The functional is PBE.

```
CaSnB
1.0
11.546 0.000 0.000
0.000 3.684 0.000
-1.247 0.000 6.152
Ca Sn B
4 4 4
Direct
0.161 0.000 0.211 Ca
0.339 0.500 0.789 Ca
0.661 0.500 0.211 Ca
0.839 0.000 0.789 Ca
0.096 0.000 0.701 Sn
0.404 0.500 0.299 Sn
0.596 0.500 0.701 Sn
0.904 0.000 0.299 Sn
0.034 0.500 0.900 B
0.466 0.000 0.100 B
0.534 0.000 0.900 B
0.966 0.500 0.100 B
```

- Distance to the lowest polymorph of the same formula: 0.0000 eV per atom


Entry 2:
This record from the Alexandria database describes a relaxed ZrOsN2O crystal. The functional is PBE.

```
ZrOsN2O
1.0
4.261 0.000 0.000
0.000 4.261 0.000
0.000 0.000 3.992
Zr Os N O
1 1 2 1
Direct
0.000 0.000 0.000 Zr
0.500 0.500 0.500 Os
0.000 0.500 0.000 N
0.500 0.000 0.000 N
0.000 0.000 0.500 O
```

- ΔE_f (raw): 865 meV/atom


Entry 3:
This record from the Alexandria database describes a relaxed NaBeCuB2 crystal. The functional is PBE.

```
NaBeCuB2
1.0
3.705 0.000 0.000
0.000 3.705 0.000
0.000 0.000 4.188
Na Be Cu B
1 1 1 2
Direct
0.000 0.000 0.000 Na
0.500 0.500 0.500 Be
0.500 0.500 0.000 Cu
0.000 0.500 0.500 B
0.500 0.000 0.500 B
```


Entry 4:
This record from the Alexandria database describes a relaxed ZnNi4Ir crystal. The functional is PBE.

```
ZnNi4Ir
1.0
8.125 0.000 0.000
0.000 4.205 0.000
-2.762 0.000 4.215
Zn Ni Ir
2 8 2
Direct
0.000 0.000 0.000 Zn
0.500 0.500 0.000 Zn
0.162 0.500 0.980 Ni
0.172 0.500 0.493 Ni
0.328 0.000 0.507 Ni
0.338 0.000 0.020 Ni
0.662 0.000 0.980 Ni
0.672 0.000 0.493 Ni
0.828 0.500 0.507 Ni
0.838 0.500 0.020 Ni
0.000 0.000 0.500 Ir
0.500 0.500 0.500 Ir
```

- Distance to the lowest polymorph of the same formula: 0.0370 eV per atom


Entry 5:
This record from the Alexandria database describes a relaxed AsAuBr2 crystal. The functional is PBE.

```
AsAuBr2
1.0
5.094 0.000 0.000
0.000 5.094 0.000
0.000 0.000 16.983
As Au Br
4 4 8
Direct
0.000 0.000 0.000 As
0.000 0.500 0.250 As
0.500 0.000 0.750 As
0.500 0.500 0.500 As
0.000 0.000 0.500 Au
0.000 0.500 0.750 Au
0.500 0.000 0.250 Au
0.500 0.500 0.000 Au
0.239 0.250 0.125 Br
0.250 0.739 0.375 Br
0.250 0.761 0.875 Br
0.261 0.250 0.625 Br
0.739 0.750 0.625 Br
0.750 0.239 0.875 Br
0.750 0.261 0.375 Br
0.761 0.750 0.125 Br
```

- ΔE_f (raw): 394 meV/atom
- Distance to the lowest polymorph of the same formula: 0.6138 eV per atom


Entry 6:
This record from the Alexandria database describes a relaxed CsTl2Ru crystal. The functional is PBE.

```
CsTl2Ru
1.0
7.062 0.000 0.000
0.000 7.062 0.000
0.000 0.000 15.137
Cs Tl Ru
4 8 4
Direct
0.000 0.250 0.375 Cs
0.000 0.750 0.625 Cs
0.500 0.250 0.125 Cs
0.500 0.750 0.875 Cs
0.000 0.000 0.000 Tl
0.000 0.500 0.000 Tl
0.250 0.250 0.750 Tl
0.250 0.750 0.250 Tl
0.500 0.000 0.500 Tl
0.500 0.500 0.500 Tl
0.750 0.250 0.750 Tl
0.750 0.750 0.250 Tl
0.000 0.250 0.875 Ru
0.000 0.750 0.125 Ru
0.500 0.250 0.625 Ru
0.500 0.750 0.375 Ru
```


Entry 7:
This record from the Alexandria database describes a relaxed Sr2Li3ZnAu4 crystal. The functional is PBE.

```
Sr2Li3ZnAu4
1.0
4.518 0.000 0.000
0.000 4.518 0.000
0.000 0.000 10.618
Sr Li Zn Au
2 3 1 4
Direct
0.000 0.500 0.245 Sr
0.500 0.000 0.755 Sr
0.000 0.500 0.881 Li
0.500 0.000 0.119 Li
0.500 0.500 0.500 Li
0.000 0.000 0.500 Zn
0.000 0.000 0.000 Au
0.000 0.500 0.635 Au
0.500 0.000 0.365 Au
0.500 0.500 0.000 Au
```


Entry 8:
This record from the Alexandria database describes a relaxed TaAsWSe2 crystal. The functional is PBE.

```
TaAsWSe2
1.0
4.863 0.000 0.000
0.000 4.863 0.000
0.000 0.000 4.921
Ta As W Se
1 1 1 2
Direct
0.000 0.000 0.000 Ta
0.500 0.500 0.000 As
0.500 0.500 0.500 W
0.000 0.500 0.500 Se
0.500 0.000 0.500 Se
```

- ΔE_f (raw): 1083 meV/atom
- Distance to the lowest polymorph of the same formula: 0.0093 eV per atom


Calculated total moment, 0.00 0.76 0.00 0.19 0.00 0.00 0.00 0.61 μB/atom (same order as the records).
Calculated uncorrected energy, -52.72 -37.06 -17.63 -66.44 -38.78 -52.51 -29.24 -31.01 eV for the cell shown (same order as the records).